# Na2F3

A relaxed Na2F3 crystal (PBE-GGA, Alexandria via LeMat-Bulk).

Calculated values
D(E_F), states/eV per cell: 3.41
Uncorrected energy, eV/cell: -37.448
M_tot, μB per atom: 0.200

a = 5.195 Å, b = 5.195 Å, c = 6.384 Å
α = 87.90°, β = 87.90°, γ = 77.12°
Element x y z (fractional)
1 Na 0.709 0.709 0.498
2 Na 0.709 0.709 0.998
3 Na 0.291 0.291 0.002
4 Na 0.291 0.291 0.502
5 F 0.501 0.000 0.750
6 F 0.499 0.000 0.250
7 F 0.000 0.501 0.750
8 F 0.500 0.500 0.750
9 F 0.500 0.500 0.250
10 F 0.000 0.499 0.250